The following is a PBE calculation of crystalline KZnAsBr2 at its relaxed geometry, from the Alexandria database.

a b c (Å): 6.1106 6.1106 6.8834
angles (deg): 90.00 90.00 90.00
Last column: magnetic moment on the atom in μB.
Element x y z (fractional)
Zn (0.5000, 0.5000, 0.5000)  -0.10
Br (0.5000, 0.0000, 0.0000)  0.25
K (0.0000, 0.0000, 0.0000)  0.01
Br (0.0000, 0.5000, 0.0000)  0.25
As (0.0000, 0.0000, 0.5000)  1.17

Energy above the lowest structure with this stoichiometry = 835 meV/atom
Calculated volume = 51.4 Å³ per atom
Spin magnetization = 0.637 μB per atom
Total DFT energy (no corrections) = -8.8 eV/f.u.
Raw formation energy = 1.6 eV/f.u.
DOS at the Fermi energy = 7.02 states/eV per cell